VSbPb2, optimized geometry, DFT PBE-GGA; energy = -37.8 eV/cell; total magnetization = 5.84 Bohr magnetons per cell; energy relative to the lowest polymorph listed for this composition = 0.00 eV/f.u.; SG = No. 122; ΔE_f (raw) = 442 meV per atom
1.0
-2.202 2.202 11.225
2.202 -2.202 11.225
2.202 2.202 -11.225
V Sb Pb
2 2 4
Cartesian
0.000 0.000 0.000
0.000 2.202 5.613
2.202 0.000 5.613
0.000 0.000 11.225
3.302 1.093 -2.806
1.093 1.101 2.806
-1.101 1.109 8.419
1.109 1.101 14.031

VSbPb2, optimized geometry, DFT PBE-GGA; energy = -18.5 eV/cell; total magnetization = 3.46 Bohr magnetons per cell; energy relative to the lowest polymorph listed for this composition = 0.38 eV/f.u.; SG = No. 225; ΔE_f (raw) = 536 meV per atom
1.0
0.000 3.753 3.753
3.753 0.000 3.753
3.753 3.753 0.000
V Sb Pb
1 1 2
Cartesian
0.000 0.000 0.000
3.753 3.753 3.753
1.876 1.876 1.876
5.629 5.629 5.629

VSb2Pb, optimized geometry, DFT PBE-GGA; energy = -39.6 eV/cell; total magnetization = 2.96 Bohr magnetons per cell; energy relative to the lowest polymorph listed for this composition = 1.21 eV/f.u.; SG = No. 122; ΔE_f (raw) = 319 meV per atom
1.0
-3.207 3.207 6.788
3.207 -3.207 6.788
3.207 3.207 -6.788
V Sb Pb
2 4 2
Cartesian
0.000 0.000 0.000
0.000 3.207 3.394
4.811 1.201 -1.697
1.201 1.604 1.697
-1.604 2.006 5.091
2.006 1.604 8.485
3.207 0.000 3.394
0.000 0.000 6.788

V2Sb2Pb, optimized geometry, DFT PBE-GGA; energy = -58.3 eV/cell; total magnetization = 0.77 Bohr magnetons per cell; SG = No. 127; ΔE_f (raw) = 206 meV per atom
1.0
7.698 0.000 0.000
0.000 7.698 0.000
0.000 0.000 3.443
V Sb Pb
4 4 2
Cartesian
1.084 2.765 0.000
2.765 6.613 0.000
4.933 1.084 0.000
6.613 4.933 0.000
1.134 4.982 1.721
2.715 1.134 1.721
4.982 6.564 1.721
6.564 2.715 1.721
0.000 0.000 0.000
3.849 3.849 0.000

VSb2Pb2, optimized geometry, DFT PBE-GGA; energy = -47.9 eV/cell; total magnetization = 5.19 Bohr magnetons per cell; SG = No. 127; ΔE_f (raw) = 169 meV per atom
1.0
7.096 0.000 0.000
0.000 7.096 0.000
0.000 0.000 5.556
V Sb Pb
2 4 4
Cartesian
0.000 0.000 0.000
3.548 3.548 0.000
1.036 2.512 0.000
2.512 6.060 0.000
4.584 1.036 0.000
6.060 4.584 0.000
1.290 4.838 2.778
2.258 1.290 2.778
4.838 5.806 2.778
5.806 2.258 2.778

V2SbPb, optimized geometry, DFT PBE-GGA; energy = -24.3 eV/cell; total magnetization = 0.00 Bohr magnetons per cell; energy relative to the lowest polymorph listed for this composition = 0.00 eV/f.u.; SG = No. 225; ΔE_f (raw) = 450 meV per atom
1.0
0.000 3.337 3.337
3.337 0.000 3.337
3.337 3.337 0.000
V Sb Pb
2 1 1
Cartesian
1.669 1.669 1.669
5.006 5.006 5.006
0.000 0.000 0.000
3.337 3.337 3.337

VSb2Pb, optimized geometry, DFT PBE-GGA; energy = -20.7 eV/cell; total magnetization = 1.44 Bohr magnetons per cell; energy relative to the lowest polymorph listed for this composition = 0.28 eV/f.u.; SG = No. 123; ΔE_f (raw) = 85 meV per atom
1.0
3.404 0.000 0.000
0.000 3.404 0.000
0.000 0.000 8.290
V Sb Pb
1 2 1
Cartesian
0.000 0.000 0.000
1.702 1.702 1.577
1.702 1.702 6.714
0.000 0.000 4.145

Sb3PbW, optimized geometry, DFT PBE-GGA; energy = -26.0 eV/cell; total magnetization = 0.75 Bohr magnetons per cell; energy relative to the lowest polymorph listed for this composition = 0.00 eV/f.u.; SG = No. 221; ΔE_f (raw) = 609 meV per atom
1.0
5.315 0.000 0.000
0.000 5.315 0.000
0.000 0.000 5.315
Sb Pb W
3 1 1
Cartesian
0.000 0.000 2.658
0.000 2.658 0.000
2.658 0.000 0.000
2.658 2.658 2.658
0.000 0.000 0.000

Q: Number 7 is which compound?
A: VSb2Pb